# PmNdEr2 | Alexandria | PBE | optimized geometry
data_PmNdEr2
_symmetry_space_group_name_H-M 'P 1'
_symmetry_Int_Tables_number 1
_symmetry_space_group_name_Hall 'P 1'
_cell_length_a 7.129
_cell_length_b 3.587
_cell_length_c 10.141
_cell_angle_alpha 90.00
_cell_angle_beta 90.69
_cell_angle_gamma 90.00
loop_
_atom_site_label
_atom_site_type_symbol
_atom_site_fract_x
_atom_site_fract_y
_atom_site_fract_z
Pm1 Pm 0.125 0.250 0.376
Pm2 Pm 0.875 0.750 0.624
Nd1 Nd 0.374 0.750 0.125
Nd2 Nd 0.626 0.250 0.875
Er1 Er 0.125 0.250 0.875
Er2 Er 0.375 0.750 0.625
Er3 Er 0.625 0.250 0.375
Er4 Er 0.875 0.750 0.125
# mass density: 7.99 g/cm3
# polymorph energy (0 for the lowest one): 0 meV per atom
# total energy: -4.65 eV per atom
# E_form: 0.06 eV/f.u.


# HgTePbCl | Alexandria | PBE | optimized geometry
data_HgTePbCl
_symmetry_space_group_name_H-M 'P 1'
_symmetry_Int_Tables_number 1
_symmetry_space_group_name_Hall 'P 1'
_cell_length_a 7.648
_cell_length_b 7.648
_cell_length_c 7.648
_cell_angle_alpha 90.00
_cell_angle_beta 90.00
_cell_angle_gamma 90.00
loop_
_atom_site_label
_atom_site_type_symbol
_atom_site_fract_x
_atom_site_fract_y
_atom_site_fract_z
Hg1 Hg 0.000 0.000 0.000
Hg2 Hg 0.000 0.500 0.500
Hg3 Hg 0.500 0.000 0.500
Hg4 Hg 0.500 0.500 0.000
Te1 Te 0.250 0.250 0.250
Te2 Te 0.250 0.750 0.750
Te3 Te 0.750 0.250 0.750
Te4 Te 0.750 0.750 0.250
Pb1 Pb 0.000 0.000 0.500
Pb2 Pb 0.000 0.500 0.000
Pb3 Pb 0.500 0.000 0.000
Pb4 Pb 0.500 0.500 0.500
Cl1 Cl 0.250 0.250 0.750
Cl2 Cl 0.250 0.750 0.250
Cl3 Cl 0.750 0.250 0.250
Cl4 Cl 0.750 0.750 0.750
# mass density: 8.48 g/cm3
# total energy: -2.58 eV per atom